[1]
RbNd2Pt: relaxed, PBE-GGA.

Cell: 4.336 4.336 11.835 Å, 79.44 79.44 60.00°
Atoms (fractional coordinates):
1 Rb 0.000 0.000 0.000
2 Pt 0.500 0.500 0.500
3 Nd 0.875 0.875 0.376
4 Nd 0.125 0.125 0.624

Values from the calculation:
**Electronic total energy**: -18.13 eV per formula unit
**ρ**: 5.0 Mg/m³

***

[2]
Mn2SbCl8: relaxed, PBE-GGA.

Cell: 3.438 9.478 10.110 Å, 92.03 99.79 90.00°
Atoms (fractional coordinates):
1 Cl 0.607 0.569 0.213
2 Cl 0.964 0.797 0.929
3 Cl 0.753 0.714 0.505
4 Cl 0.372 0.086 0.745
5 Cl 0.247 0.286 0.495
6 Cl 0.036 0.203 0.071
7 Cl 0.393 0.431 0.787
8 Cl 0.628 0.914 0.255
9 Mn 0.167 0.701 0.334
10 Mn 0.833 0.299 0.666
11 Sb 0.500 0.000 0.000

Values from the calculation:
**Electronic total energy**: -46.48 eV per formula unit
**ρ**: 2.6 Mg/m³